Material: SmHoCdSi
Method: DFT, PBE
State: relaxed

Cell and atoms, written as POSCAR:
```
SmHoCdSi
1.0
5.142 0.000 0.000
2.571 4.453 0.000
2.571 1.484 4.199
Si Ho Sm Cd
1 1 1 1
Direct
0.000 0.000 0.000
0.250 0.250 0.250
0.750 0.750 0.750
0.500 0.500 0.500
```

Computed properties:
Electronic total energy, eV per atom: -4.2906
SG: No. 216
Mass density, kg/m³: 7872
ΔE_f (raw), meV/atom: -382